Version a
Nb2S2F PBE optimized geometry; magnetic moment = 0.00 μB/f.u.; space group = P4/mbm, No. 127
1.0
6.9658 0.0000 0.0000
0.0000 6.9658 0.0000
0.0000 0.0000 3.0914
S F Nb
4 2 4
direct
0.1397 0.3603 0.0000 S
0.3603 0.8603 0.0000 S
0.6397 0.1397 0.0000 S
0.8603 0.6397 0.0000 S
0.5000 0.5000 0.0000 F
0.0000 0.0000 0.0000 F
0.6538 0.8462 0.5000 Nb
0.8462 0.3462 0.5000 Nb
0.3462 0.1538 0.5000 Nb
0.1538 0.6538 0.5000 Nb



Version b
Nb2S2F PBE optimized geometry; magnetic moment = 0.00 μB/f.u.; space group = I4/mmm, No. 139
1.0
4.1815 0.0000 0.0000
0.0000 4.1815 0.0000
2.0908 2.0908 5.2212
S Nb F
2 2 1
direct
0.6265 0.6265 0.7470 S
0.3735 0.3735 0.2530 S
0.2500 0.7500 0.5000 Nb
0.7500 0.2500 0.5000 Nb
0.0000 0.0000 0.0000 F



Top of the stability list: version a, leading by 98 meV per atom.